EuBiRh | PBE | optimized geometry

```
EuBiRh
1.0
-1.126 3.090 -2.396
-3.305 -2.703 -1.932
-0.997 2.574 3.787
Eu Rh Bi
1 1 1
Cartesian
-3.286 1.116 -1.623
-0.188 0.515 -0.400
-1.954 1.330 1.481
```

Calculated values
size of the total moment: 6.750 μB per formula unit
energy of formation: -510 meV/atom
volume: 77 Å³ per cell
space-group type: P-6m2 (187)


YRe3 | PBE | optimized geometry

```
YRe3
1.0
-3.836 -0.718 2.385
4.046 0.035 2.132
-2.960 3.424 0.656
Re Y
3 1
Cartesian
0.000 0.000 0.000
-1.375 1.370 2.587
-4.085 2.038 2.814
1.335 0.703 2.359
```

Calculated values
size of the total moment: 0.000 μB per formula unit
energy of formation: 313 meV/atom
volume: 68 Å³ per cell
space-group type: Fm-3m (225)